# 1
The following is a DFT calculation (PBE) of an optimized crystal structure of SbPt2I8.

Unit cell a=11.890 b=9.086 c=8.342 alpha=111.67 beta=90.00 gamma=130.86
Element x y z (fractional)
Sb 0.000 0.000 0.000
Pt 0.890 0.779 0.615
Pt 0.110 0.221 0.385
I 0.882 0.198 0.297
I 0.316 0.198 0.297
I 0.118 0.802 0.703
I 0.328 0.656 0.547
I 0.684 0.802 0.703
I 0.884 0.768 0.234
I 0.116 0.232 0.766
I 0.672 0.344 0.453

- Spin magnetization: 0.00 μB per cell
- DOS(E_F): 5.1 states/eV per cell
- E_form (uncorrected): -50.1 meV/atom



# 2
The following is a DFT calculation (PBE) of an optimized crystal structure of DyY5Si4.

Unit cell a=4.919 b=6.820 c=10.448 alpha=130.73 beta=103.62 gamma=90.00
Element x y z (fractional)
Dy 0.500 0.000 0.000
Y 0.835 0.676 0.670
Y 0.835 0.164 0.670
Y 0.165 0.836 0.330
Y 0.500 0.500 0.000
Y 0.165 0.324 0.330
Si 0.322 0.894 0.644
Si 0.991 0.732 0.982
Si 0.678 0.106 0.356
Si 0.009 0.268 0.018

- Spin magnetization: 0.00 μB per cell
- DOS(E_F): 4.9 states/eV per cell
- E_form (uncorrected): -553.9 meV/atom